No. 1
## UH (PBE)

Data for crystalline UH at its relaxed geometry.

The structure belongs to space group F-43m (No. 216); the cell edges are 4.9503, 4.9503 and 4.9503 Å and the angles 90.00°, 90.00° and 90.00°. Symmetry generates all atoms from U at (0.0000, 0.0000, 0.0000) and H at (0.2500, 0.2500, 0.2500).

No. 2
## HW5 (PBE)

Data for crystalline HW5 at its relaxed geometry.

The structure belongs to space group P6/mmm (No. 191); the cell edges are 5.2662, 5.2662 and 4.5401 Å and the angles 90.00°, 90.00° and 120.00°. Symmetry generates all atoms from H at (0.0000, 0.0000, 0.0000), W at (0.0000, 0.5000, 0.5000) and W at (0.3333, 0.6667, 0.0000).

no.,total DFT energy (no corrections) (eV/atom)
1,-7.027
2,-9.947